# ZrH

A relaxed structure of ZrH (PBE, Alexandria via LeMat-Bulk). Values from VASP.

Structure (Quantum ESPRESSO input):
```
&SYSTEM
  ibrav = 0, nat = 4, ntyp = 2
/
ATOMIC_SPECIES
Zr 91.22 Zr.upf
H 1.01 H.upf
ATOMIC_POSITIONS crystal
Zr 0.333 0.667 0.000
Zr 0.667 0.333 0.500
H 0.333 0.667 0.638
H 0.667 0.333 0.138
CELL_PARAMETERS angstrom
3.299 0.000 0.000
-1.650 2.857 0.000
0.000 0.000 5.622
```

- N(E_F) (states/eV/f.u.) = 2.53
- mass density (kg/m3) = 5780
- total energy (eV per atom) = -6.240